Density functional theory data (GGA-PBE) for a relaxed InHg3PbS4 crystal.

a = 6.424 Å, b = 6.424 Å, c = 6.424 Å
α = 90.00°, β = 90.00°, γ = 90.00°
Fractional positions:
1 Hg 0.500 0.000 0.500
2 Hg 0.000 0.500 0.500
3 Hg 0.500 0.500 0.000
4 In 0.000 0.000 0.000
5 S 0.769 0.231 0.769
6 S 0.231 0.231 0.231
7 S 0.769 0.769 0.231
8 Pb 0.500 0.500 0.500
9 S 0.231 0.769 0.769

Properties
Space-group type: P-43m (215)

=====

Density functional theory data (GGA-PBE) for a relaxed NdHfNO crystal.

a = 6.608 Å, b = 7.693 Å, c = 5.364 Å
α = 90.00°, β = 90.00°, γ = 90.00°
Fractional positions:
1 Nd 0.066 0.131 0.030
2 N 0.078 0.153 0.507
3 Hf 0.608 0.352 0.021
4 Hf 0.108 0.648 0.021
5 N 0.922 0.847 0.007
6 Hf 0.892 0.352 0.521
7 O 0.415 0.553 0.145
8 O 0.085 0.553 0.645
9 Nd 0.434 0.131 0.530
10 Nd 0.566 0.869 0.030
11 O 0.915 0.447 0.145
12 N 0.422 0.153 0.007
13 N 0.578 0.847 0.507
14 Nd 0.934 0.869 0.530
15 O 0.585 0.447 0.645
16 Hf 0.392 0.648 0.521

Properties
Space-group type: Pca2_1 (29)
Relative energy among the computed polymorphs in kcal/mol of atoms: 3.024

=====

Density functional theory data (GGA-PBE) for a relaxed CsDyTe3As crystal.

a = 8.549 Å, b = 8.549 Å, c = 12.516 Å
α = 90.00°, β = 90.00°, γ = 148.25°
Fractional positions:
1 Te 0.623 0.377 0.024
2 Dy 0.000 0.000 0.500
3 As 0.424 0.576 0.750
4 Cs 0.259 0.741 0.250
5 Cs 0.741 0.259 0.750
6 Te 0.623 0.377 0.476
7 Te 0.990 0.010 0.250
8 Te 0.010 0.990 0.750
9 Te 0.377 0.623 0.524
10 Dy 0.000 0.000 0.000
11 As 0.576 0.424 0.250
12 Te 0.377 0.623 0.976

Properties
Space-group type: Cmcm (63)

=====

Density functional theory data (GGA-PBE) for a relaxed Nd3Er2TmOsS2 crystal.

a = 3.997 Å, b = 7.940 Å, c = 7.940 Å
α = 119.94°, β = 90.00°, γ = 90.00°
Fractional positions:
1 Nd 0.000 0.415 0.415
2 Nd 0.000 0.000 0.586
3 Nd 0.000 0.586 0.000
4 Os 0.000 0.998 0.998
5 Tm 0.500 0.756 0.756
6 S 0.500 0.334 0.667
7 Er 0.500 0.001 0.245
8 S 0.500 0.667 0.334
9 Er 0.500 0.245 0.001

Properties
Space-group type: Amm2 (38)

=====

Density functional theory data (GGA-PBE) for a relaxed RbTb2CS4 crystal.

a = 4.000 Å, b = 4.000 Å, c = 13.905 Å
α = 90.00°, β = 90.00°, γ = 120.00°
Fractional positions:
1 S 0.000 0.000 0.113
2 S 0.000 0.000 0.887
3 Rb 0.000 0.000 0.500
4 S 0.333 0.667 0.328
5 Tb 0.667 0.333 0.219
6 C 0.333 0.667 0.000
7 Tb 0.667 0.333 0.781
8 S 0.333 0.667 0.672

Properties
Space-group type: P-6m2 (187)

=====

Density functional theory data (GGA-PBE) for a relaxed Mg2BAu crystal.

a = 4.383 Å, b = 4.383 Å, c = 4.383 Å
α = 60.00°, β = 60.00°, γ = 60.00°
Fractional positions:
1 Au 0.250 0.250 0.250
2 B 0.500 0.500 0.500
3 Mg 0.750 0.750 0.750
4 Mg 0.000 0.000 0.000

Properties
Space-group type: F-43m (216)

=====

Density functional theory data (GGA-PBE) for a relaxed NaLaHgSe3 crystal.

a = 9.954 Å, b = 9.954 Å, c = 8.667 Å
α = 105.23°, β = 105.23°, γ = 24.84°
Fractional positions:
1 Se 0.678 0.678 0.350
2 Se 0.500 0.500 0.500
3 Se 0.322 0.322 0.650
4 Na 0.119 0.119 0.589
5 Se 0.331 0.331 0.139
6 La 0.175 0.175 0.103
7 Na 0.881 0.881 0.411
8 Se 0.669 0.669 0.861
9 La 0.825 0.825 0.897
10 Se 0.000 0.000 0.000
11 Hg 0.463 0.463 0.773
12 Hg 0.537 0.537 0.227

Properties
Space-group type: C2/m (12)
Relative energy among the computed polymorphs in kcal/mol of atoms: 1.388

=====

Density functional theory data (GGA-PBE) for a relaxed DyPuPa crystal.

a = 4.973 Å, b = 4.973 Å, c = 4.973 Å
α = 60.00°, β = 60.00°, γ = 60.00°
Fractional positions:
1 Dy 0.000 0.000 0.000
2 Pu 0.750 0.750 0.750
3 Pa 0.500 0.500 0.500

Properties
Space-group type: F-43m (216)
E_form in eV per atom: 0.722
Relative energy among the computed polymorphs in kcal/mol of atoms: 0.000

=====

Density functional theory data (GGA-PBE) for a relaxed Lu2Te5O13 crystal.

a = 6.794 Å, b = 8.510 Å, c = 10.355 Å
α = 88.62°, β = 86.75°, γ = 74.84°
Fractional positions:
1 O 0.660 0.262 0.230
2 O 0.347 0.994 0.122
3 O 0.037 0.352 0.564
4 Te 0.840 0.197 0.369
5 Te 0.270 0.397 0.476
6 Te 0.290 0.883 0.967
7 Lu 0.449 0.468 0.819
8 O 0.932 0.734 0.718
9 Lu 0.551 0.532 0.181
10 O 0.053 0.821 0.036
11 O 0.460 0.188 0.511
12 Te 0.132 0.346 0.101
13 Lu 0.000 0.262 0.761
14 O 0.129 0.491 0.898
15 Te 0.160 0.803 0.631
16 O 0.674 0.775 0.222
17 O 0.932 0.980 0.312
18 O 0.340 0.738 0.770
19 O 0.765 0.499 0.814
20 O 0.326 0.225 0.778
21 Lu 0.000 0.738 0.239
22 O 0.068 0.020 0.688
23 Te 0.730 0.603 0.524
24 O 0.339 0.514 0.614
25 O 0.947 0.179 0.964
26 O 0.540 0.812 0.489
27 Te 0.868 0.654 0.899
28 Te 0.563 0.089 0.696
29 O 0.688 0.262 0.710
30 O 0.312 0.738 0.290
31 O 0.471 0.673 0.999
32 O 0.661 0.486 0.386
33 Te 0.437 0.911 0.304
34 O 0.529 0.327 0.001
35 Te 0.710 0.117 0.033
36 O 0.963 0.648 0.436
37 O 0.653 0.006 0.878
38 O 0.871 0.509 0.102
39 O 0.068 0.266 0.282
40 O 0.235 0.501 0.186

Properties
Space-group type: P-1 (2)

=====

Density functional theory data (GGA-PBE) for a relaxed NaLaPr crystal.

a = 5.498 Å, b = 5.498 Å, c = 5.498 Å
α = 60.00°, β = 60.00°, γ = 60.00°
Fractional positions:
1 Pr 0.750 0.750 0.750
2 Na 0.000 0.000 0.000
3 La 0.250 0.250 0.250

Properties
Space-group type: F-43m (216)

=====

Density functional theory data (GGA-PBE) for a relaxed KThTe crystal.

a = 5.396 Å, b = 5.396 Å, c = 5.396 Å
α = 60.00°, β = 60.00°, γ = 60.00°
Fractional positions:
1 Th 0.000 0.000 0.000
2 Te 0.250 0.250 0.250
3 K 0.500 0.500 0.500

Properties
Space-group type: F-43m (216)
Relative energy among the computed polymorphs in kcal/mol of atoms: 0.000

=====

Density functional theory data (GGA-PBE) for a relaxed Sm2B4IrPd4 crystal.

a = 7.767 Å, b = 6.591 Å, c = 5.621 Å
α = 78.55°, β = 56.27°, γ = 45.18°
Fractional positions:
1 Pd 0.500 0.500 0.000
2 Ir 0.000 0.000 0.000
3 Pd 0.250 0.250 0.250
4 Sm 0.355 0.355 0.645
5 Sm 0.645 0.645 0.355
6 B 0.013 0.721 0.279
7 B 0.279 0.987 0.013
8 B 0.721 0.013 0.987
9 B 0.987 0.279 0.721
10 Pd 0.750 0.750 0.750
11 Pd 0.000 0.000 0.500

Properties
Space-group type: Fmmm (69)

=====

| no. | energy (eV per atom) |
| --- | --- |
| 1 | -2.62 |
| 2 | -8.87 |
| 3 | -4.05 |
| 4 | -6.10 |
| 5 | -5.15 |
| 6 | -2.85 |
| 7 | -3.95 |
| 8 | -8.69 |
| 9 | -6.20 |
| 10 | -2.99 |
| 11 | -3.84 |
| 12 | -6.38 |